[1]
Below is a relaxed structure of LiLaMg2Br, with properties calculated at the PBE level.

It has space group P4/mmm (No. 123), with a = 5.3138 Å, b = 5.3138 Å, c = 4.8158 Å, α = 90.00°, β = 90.00° and γ = 90.00°. The asymmetric unit holds Li at (0.0000, 0.0000, 0.0000), La at (0.5000, 0.5000, 0.5000), Mg at (0.0000, 0.5000, 0.0000) and Br at (0.0000, 0.0000, 0.5000).

For the uncorrected formation energy, the calculation gives -0.14 eV per atom. The value obtained for the energy is -2.48 eV/atom.

=====

[2]
Below is a relaxed structure of Li2LaMnBr, with properties calculated at the PBE level.

It has space group P4/mmm (No. 123), with a = 4.6978 Å, b = 4.6978 Å, c = 6.0063 Å, α = 90.00°, β = 90.00° and γ = 90.00°. The asymmetric unit holds Li at (0.0000, 0.5000, 0.0000), La at (0.0000, 0.0000, 0.5000), Mn at (0.5000, 0.5000, 0.5000) and Br at (0.0000, 0.0000, 0.0000).

For the uncorrected formation energy, the calculation gives -0.05 eV per atom. The value obtained for the energy is -3.97 eV/atom.

=====

[3]
Below is a relaxed structure of Li2LaMnBr, with properties calculated at the PBE level.

It has space group P4/mmm (No. 123), with a = 6.1448 Å, b = 6.1448 Å, c = 4.5316 Å, α = 90.00°, β = 90.00° and γ = 90.00°. The asymmetric unit holds Li at (0.0000, 0.5000, 0.0000), La at (0.0000, 0.0000, 0.0000), Mn at (0.0000, 0.0000, 0.5000) and Br at (0.5000, 0.5000, 0.5000).

For the uncorrected formation energy, the calculation gives 0.81 eV per atom. The value obtained for the energy is -3.11 eV/atom.

=====

Which of these has the highest uncorrected formation energy?
number 3

=====

Number 1 is which compound?
LiLaMg2Br